This record from Alexandria via LeMat-Bulk describes Dy2FeMoO7 after structural relaxation. The functional is GGA+U.

```
Dy2FeMoO7
1.0
6.199 -3.625 0.000
6.199 3.625 0.000
-4.064 0.000 5.994
Dy Fe Mo O
4 2 2 14
Direct
0.000 0.000 0.000
0.000 0.500 0.500
0.500 0.000 0.500
0.500 0.500 0.000
0.000 0.500 0.000
0.500 0.000 0.000
0.000 0.000 0.500
0.500 0.500 0.500
0.100 0.624 0.895
0.102 0.102 0.369
0.110 0.671 0.334
0.329 0.890 0.666
0.343 0.343 0.126
0.376 0.900 0.105
0.380 0.380 0.615
0.620 0.620 0.385
0.624 0.100 0.895
0.657 0.657 0.874
0.671 0.110 0.334
0.890 0.329 0.666
0.898 0.898 0.631
0.900 0.376 0.105
```

* magnetization: 8.000 μB per cell
* total DFT energy (no corrections): -7.48 eV/atom
* SG: C2/m (12)
* D(E_F): 1.542 states/eV/f.u.
* theoretical density: 7.26 g cm⁻³